No. 1
ReAsIO2: optimized geometry, PBE-GGA.

a = 3.8552 Å, b = 3.8552 Å, c = 6.5270 Å
α = 90.00°, β = 90.00°, γ = 90.00°
With the nearest neighbours (Å) after each atom.
Atoms (fractional coordinates):
I1 0.0000 0.0000 0.5000  4 Re 2.73
Re1 0.5000 0.5000 0.5000  4 I 2.73
As1 0.0000 0.0000 0.0000  4 O 1.93
O1 0.0000 0.5000 0.0000  2 As 1.93
O2 0.5000 0.0000 0.0000  2 As 1.93

Output
ΔE to the lowest computed polymorph in eV/atom: 1.004
Uncorrected formation energy in eV per atom: 0.743

---

No. 2
NaInC: optimized geometry, PBE-GGA.

a = 3.6267 Å, b = 6.4418 Å, c = 6.0028 Å
α = 93.90°, β = 71.94°, γ = 90.04°
With the nearest neighbours (Å) after each atom.
Atoms (fractional coordinates):
Na1 0.3830 0.6018 0.2402  3 C 2.60-2.67
Na2 0.1343 0.4051 0.7317  4 C 2.59-2.66
C1 0.7170 0.6581 0.5671  1 C 1.28
C2 0.6052 0.6923 0.7901  1 C 1.28
In1 0.7826 0.0311 0.4341  1 C 2.57
In2 0.5129 0.0389 0.9755  1 C 2.40

Output
E_form in eV/f.u.: 1.1

---

No. 3
CsFePtW2: optimized geometry, PBE-GGA.

a = 4.9280 Å, b = 4.8923 Å, c = 4.9280 Å
α = 90.00°, β = 90.00°, γ = 90.00°
With the nearest neighbours (Å) after each atom.
Atoms (fractional coordinates):
Cs1 0.5000 0.5000 0.5000  8 W 3.47, 4 Fe 3.48
W1 0.0000 0.0000 0.5000  2 Pt 2.46
W2 0.5000 0.0000 0.0000  2 Pt 2.46
Pt1 0.0000 0.0000 0.0000  2 Fe 2.45, 4 W 2.46
Fe1 0.0000 0.5000 0.0000  2 Pt 2.45

Output
E_form in eV/f.u.: 9.8

---

No. 4
GeHW: optimized geometry, PBE-GGA.

a = 3.4781 Å, b = 3.4087 Å, c = 3.4087 Å
α = 120.00°, β = 90.00°, γ = 90.00°
With the nearest neighbours (Å) after each atom.
Atoms (fractional coordinates):
H1 0.1678 0.0000 0.0000  3 W 1.97
Ge1 0.6661 0.3333 0.6667  6 H 2.62-2.63, 6 W 2.63
W1 0.1660 0.6667 0.3333  3 H 1.97

Output
ΔE to the lowest computed polymorph in eV/atom: 0.048

---

No. 5
Pm12Y5Er: optimized geometry, PBE-GGA.

a = 11.2247 Å, b = 10.6169 Å, c = 5.9939 Å
α = 90.00°, β = 89.99°, γ = 58.09°
With the nearest neighbours (Å) after each atom.
Atoms (fractional coordinates):
Pm1 0.8401 0.0000 0.4929  2 Er 3.46-3.53, 3 Y 3.53-3.82, 5 Pm 3.58-3.61
Pm2 0.1600 0.0000 0.5071  2 Er 3.46-3.53, 3 Y 3.53-3.82, 5 Pm 3.58-3.61
Pm3 0.6609 0.0000 0.9930  4 Y 3.46-3.54, 5 Pm 3.57-3.61, 1 Er 3.81
Pm4 0.3390 0.0000 0.0070  4 Y 3.46-3.54, 5 Pm 3.57-3.61, 1 Er 3.81
Pm5 0.3277 0.6705 0.9932  4 Y 3.48-3.78, 1 Er 3.49, 5 Pm 3.57-3.66
Pm6 0.0019 0.6705 0.0068  4 Y 3.48-3.79, 1 Er 3.49, 5 Pm 3.57-3.66
Pm7 0.9982 0.3295 0.9932  4 Y 3.48-3.78, 1 Er 3.49, 5 Pm 3.57-3.66
Pm8 0.6723 0.3295 0.0068  4 Y 3.48-3.78, 1 Er 3.49, 5 Pm 3.57-3.66
Pm9 0.4979 0.3310 0.5069  5 Y 3.48-3.78, 5 Pm 3.58-3.67
Pm10 0.8288 0.6690 0.5069  5 Y 3.48-3.78, 5 Pm 3.58-3.67
Pm11 0.1712 0.3309 0.4931  5 Y 3.48-3.78, 5 Pm 3.58-3.67
Pm12 0.5021 0.6691 0.4931  5 Y 3.48-3.78, 5 Pm 3.58-3.67
Y1 0.5000 0.0000 0.5000  10 Pm 3.46-3.82
Y2 0.1683 0.6634 0.5000  10 Pm 3.48-3.78
Y3 0.8317 0.3366 0.5000  10 Pm 3.48-3.78
Y4 0.6683 0.6634 0.0000  10 Pm 3.48-3.79
Y5 0.3317 0.3366 0.0000  10 Pm 3.48-3.78
Er1 0.0000 0.0000 0.0000  10 Pm 3.46-3.81

Output
E_form in eV/f.u.: 1.9

---

No. 6
Nd3Ag: optimized geometry, PBE-GGA.

a = 7.1232 Å, b = 7.1232 Å, c = 5.4238 Å
α = 90.00°, β = 90.00°, γ = 120.00°
With the nearest neighbours (Å) after each atom.
Atoms (fractional coordinates):
Nd1 0.1755 0.3509 0.2500  4 Ag 3.34-3.56, 6 Nd 3.37-3.47
Nd2 0.6491 0.8245 0.2500  4 Ag 3.34-3.56, 6 Nd 3.37-3.47
Nd3 0.1755 0.8245 0.2500  4 Ag 3.34-3.56, 6 Nd 3.37-3.47
Nd4 0.8245 0.6491 0.7500  4 Ag 3.34-3.56, 6 Nd 3.37-3.47
Nd5 0.3509 0.1755 0.7500  4 Ag 3.34-3.56, 6 Nd 3.37-3.47
Nd6 0.8245 0.1755 0.7500  4 Ag 3.34-3.56, 6 Nd 3.37-3.47
Ag1 0.3333 0.6667 0.7500  12 Nd 3.34-3.56
Ag2 0.6667 0.3333 0.2500  12 Nd 3.34-3.56

Output
E_form in eV/f.u.: 0.1
ΔE to the lowest computed polymorph in eV/atom: 0.113

---

No. 7
HfMnAlN2: optimized geometry, PBE-GGA.

a = 3.8203 Å, b = 4.4787 Å, c = 3.8203 Å
α = 90.00°, β = 90.00°, γ = 90.00°
With the nearest neighbours (Å) after each atom.
Atoms (fractional coordinates):
Mn1 0.0000 0.5000 0.0000  2 Al 2.24
Hf1 0.5000 0.5000 0.5000  4 Mn 2.70, 8 N 2.94
Al1 0.0000 0.0000 0.0000  4 N 1.91
N1 0.0000 0.0000 0.5000  2 Al 1.91
N2 0.5000 0.0000 0.0000  2 Al 1.91

Output
Uncorrected formation energy in eV per atom: 0.770

---

No. 8
Sr2CaCu: optimized geometry, PBE-GGA.

a = 3.8636 Å, b = 3.8636 Å, c = 9.8696 Å
α = 90.00°, β = 90.00°, γ = 89.86°
With the nearest neighbours (Å) after each atom.
Atoms (fractional coordinates):
Sr1 0.0000 0.0000 0.9274  4 Cu 3.33-3.34, 1 Ca 3.49
Sr2 0.5000 0.5000 0.2647  8 Sr 3.86-4.31, 4 Ca 4.09-4.10
Ca1 0.0000 0.0000 0.5740  4 Cu 3.15-3.16, 1 Sr 3.49
Cu1 0.5000 0.5000 0.7339  4 Ca 3.15-3.16, 4 Sr 3.33-3.34

Output
E_form in eV/f.u.: 0.1
ΔE to the lowest computed polymorph in eV/atom: 0.042

---

No. 9
CeMn: optimized geometry, PBE-GGA.

a = 2.9712 Å, b = 3.9919 Å, c = 7.0065 Å
α = 90.00°, β = 107.32°, γ = 90.00°
With the nearest neighbours (Å) after each atom.
Atoms (fractional coordinates):
Mn1 0.7441 0.7500 0.0294  1 Ce 2.20, 2 Mn 2.43
Mn2 0.2559 0.2500 0.9706  1 Ce 2.20, 2 Mn 2.43
Ce1 0.6666 0.7500 0.7072  1 Mn 2.20
Ce2 0.3334 0.2500 0.2928  1 Mn 2.20

Output
E_form in eV/f.u.: 0.5

---

No. 10
CsLi2AsRh: optimized geometry, PBE-GGA.

a = 5.2145 Å, b = 5.2145 Å, c = 4.6504 Å
α = 90.00°, β = 90.00°, γ = 90.00°
With the nearest neighbours (Å) after each atom.
Atoms (fractional coordinates):
Cs1 0.5000 0.5000 0.5000  8 Li 3.49, 4 As 3.69
As1 0.0000 0.0000 0.5000  2 Rh 2.33
Rh1 0.0000 0.0000 0.0000  2 As 2.33
Li1 0.0000 0.5000 0.0000  2 Rh 2.61
Li2 0.5000 0.0000 0.0000  2 Rh 2.61

Output
E_form in eV/f.u.: -1.3

---

No. 11
Hf2MgHAu: optimized geometry, PBE-GGA.

a = 4.2507 Å, b = 4.2507 Å, c = 4.4778 Å
α = 90.00°, β = 90.00°, γ = 90.00°
With the nearest neighbours (Å) after each atom.
Atoms (fractional coordinates):
Hf1 0.0000 0.5000 0.0000  2 H 2.13
Hf2 0.5000 0.0000 0.0000  2 H 2.13
Mg1 0.0000 0.0000 0.5000  2 H 2.24
Au1 0.5000 0.5000 0.5000  4 Mg 3.01, 8 Hf 3.09
H1 0.0000 0.0000 0.0000  4 Hf 2.13, 2 Mg 2.24

---

No. 12
ZrNb2Ir5: optimized geometry, PBE-GGA.

a = 4.0238 Å, b = 5.6773 Å, c = 11.3634 Å
α = 90.00°, β = 90.00°, γ = 90.00°
With the nearest neighbours (Å) after each atom.
Atoms (fractional coordinates):
Zr1 0.0000 0.0000 0.5000  8 Ir 2.81-2.87, 4 Nb 3.05
Zr2 0.0000 0.5000 0.0000  8 Ir 2.81-2.87, 4 Nb 3.05
Nb1 0.5000 0.2928 0.3614  8 Ir 2.67-2.85
Nb2 0.5000 0.7072 0.6386  8 Ir 2.67-2.85
Nb3 0.5000 0.2072 0.8614  8 Ir 2.67-2.85
Nb4 0.5000 0.7928 0.1386  8 Ir 2.67-2.85
Ir1 0.5000 0.2621 0.1249  2 Nb 2.67-2.69, 2 Zr 2.81, 6 Ir 2.81-2.88
Ir2 0.5000 0.7379 0.8751  2 Nb 2.67-2.69, 2 Zr 2.81, 6 Ir 2.81-2.88
Ir3 0.5000 0.7621 0.3751  2 Nb 2.67-2.69, 2 Zr 2.81, 6 Ir 2.81-2.88
Ir4 0.5000 0.2379 0.6249  2 Nb 2.67-2.69, 2 Zr 2.81, 6 Ir 2.81-2.88
Ir5 0.0000 0.9813 0.7522  4 Nb 2.69-2.85, 7 Ir 2.81-2.87, 1 Zr 2.87
Ir6 0.0000 0.0187 0.2478  4 Nb 2.69-2.85, 7 Ir 2.81-2.87, 1 Zr 2.87
Ir7 0.0000 0.4813 0.7478  4 Nb 2.69-2.85, 7 Ir 2.81-2.87, 1 Zr 2.87
Ir8 0.0000 0.5187 0.2522  4 Nb 2.69-2.85, 7 Ir 2.81-2.87, 1 Zr 2.87
Ir9 0.0000 0.5000 0.5000  4 Nb 2.81, 6 Ir 2.82-2.88, 2 Zr 2.84
Ir10 0.0000 0.0000 0.0000  4 Nb 2.81, 6 Ir 2.82-2.88, 2 Zr 2.84

Output
E_form in eV/f.u.: -4.4

---

no.,energy (eV per atom),spin magnetization (μB per formula unit),D(E_F) (states/eV/atom)
1,-4.97,3.57,0.575
2,-4.05,0.00,0.274
3,-6.30,6.69,0.806
4,-6.78,0.00,0.381
5,-5.11,0.00,2.058
6,-4.26,0.00,1.425
7,-7.13,3.31,0.640
8,-2.35,0.00,1.047
9,-7.32,0.00,2.033
10,-3.60,0.00,0.385
11,-5.88,0.00,0.829
12,-9.67,0.00,0.583